A geometry-optimized BaAcTlZn structure. Source: Alexandria, functional PBE.

a = 8.232 Å, b = 8.232 Å, c = 8.232 Å
α = 90.00°, β = 90.00°, γ = 90.00°
Fractional positions:
Ba 0.000 0.000 0.000
Ba 0.000 0.500 0.500
Ba 0.500 0.000 0.500
Ba 0.500 0.500 0.000
Ac 0.000 0.000 0.500
Ac 0.000 0.500 0.000
Ac 0.500 0.000 0.000
Ac 0.500 0.500 0.500
Tl 0.250 0.250 0.250
Tl 0.250 0.750 0.750
Tl 0.750 0.250 0.750
Tl 0.750 0.750 0.250
Zn 0.250 0.250 0.750
Zn 0.250 0.750 0.250
Zn 0.750 0.250 0.250
Zn 0.750 0.750 0.750

Computed properties:
Symmetry ... F-43m, No. 216
Energy of formation ... -256 meV/atom
Polymorph energy (0 for the lowest one) ... 0.153 eV/f.u.
Raw total energy ... -42.77 eV for the cell shown

***

A geometry-optimized BaAcTm structure. Source: Alexandria, functional PBE.

a = 6.204 Å, b = 6.204 Å, c = 3.735 Å
α = 90.00°, β = 90.00°, γ = 120.00°
Fractional positions:
Ba 0.000 0.000 0.000
Ac 0.333 0.667 0.500
Tm 0.667 0.333 0.000

Computed properties:
Symmetry ... P-6m2, No. 187
Energy of formation ... 221 meV/atom
Polymorph energy (0 for the lowest one) ... 0.183 eV/f.u.
Raw total energy ... -9.84 eV for the cell shown

***

A geometry-optimized BaAc2Tm structure. Source: Alexandria, functional PBE.

a = 4.040 Å, b = 4.040 Å, c = 10.827 Å
α = 90.00°, β = 90.00°, γ = 90.00°
Fractional positions:
Ba 0.000 0.000 0.000
Ac 0.500 0.500 0.288
Ac 0.500 0.500 0.712
Tm 0.000 0.000 0.500

Computed properties:
Symmetry ... P4/mmm, No. 123
Energy of formation ... 85 meV/atom
Polymorph energy (0 for the lowest one) ... 0.000 eV/f.u.
Raw total energy ... -14.27 eV for the cell shown

***

A geometry-optimized BaAc2Tm structure. Source: Alexandria, functional PBE.

a = 3.875 Å, b = 3.875 Å, c = 41.015 Å
α = 90.00°, β = 90.00°, γ = 120.00°
Fractional positions:
Ba 0.000 0.000 0.000
Ba 0.333 0.667 0.667
Ba 0.667 0.333 0.333
Ac 0.000 0.000 0.095
Ac 0.000 0.000 0.905
Ac 0.333 0.667 0.572
Ac 0.333 0.667 0.762
Ac 0.667 0.333 0.238
Ac 0.667 0.333 0.428
Tm 0.000 0.000 0.500
Tm 0.333 0.667 0.167
Tm 0.667 0.333 0.833

Computed properties:
Symmetry ... R-3m, No. 166
Energy of formation ... 193 meV/atom
Polymorph energy (0 for the lowest one) ... 0.433 eV/f.u.
Raw total energy ... -41.52 eV for the cell shown

***

A geometry-optimized BaAc2Tm structure. Source: Alexandria, functional PBE.

a = 3.938 Å, b = 3.938 Å, c = 38.872 Å
α = 90.00°, β = 90.00°, γ = 120.00°
Fractional positions:
Ba 0.000 0.000 0.000
Ba 0.333 0.667 0.667
Ba 0.667 0.333 0.333
Ac 0.000 0.000 0.575
Ac 0.000 0.000 0.759
Ac 0.333 0.667 0.242
Ac 0.333 0.667 0.426
Ac 0.667 0.333 0.092
Ac 0.667 0.333 0.909
Tm 0.000 0.000 0.167
Tm 0.333 0.667 0.834
Tm 0.667 0.333 0.501

Computed properties:
Symmetry ... R3m, No. 160
Energy of formation ... 109 meV/atom
Polymorph energy (0 for the lowest one) ... 0.096 eV/f.u.
Raw total energy ... -42.53 eV for the cell shown

***

A geometry-optimized BaAcTm structure. Source: Alexandria, functional PBE.

a = 3.977 Å, b = 3.977 Å, c = 16.551 Å
α = 90.00°, β = 90.00°, γ = 90.00°
Fractional positions:
Ba 0.000 0.000 0.000
Ba 0.500 0.500 0.500
Ac 0.000 0.000 0.310
Ac 0.500 0.500 0.810
Tm 0.000 0.000 0.670
Tm 0.500 0.500 0.170

Computed properties:
Symmetry ... I4mm, No. 107
Energy of formation ... 160 meV/atom
Polymorph energy (0 for the lowest one) ... 0.000 eV/f.u.
Raw total energy ... -20.05 eV for the cell shown

***

no.,DOS at the Fermi energy (states/eV/cell)
1,12.8
2,3.9
3,5.7
4,19.3
5,16.4
6,9.7